[1]
The following is a PBE-GGA calculation of a relaxed structure of VCr2OsN, from Alexandria.

```
VCr2OsN
1.0
-1.733 -1.367 3.111
-1.231 -3.002 -2.006
3.248 -1.964 0.947
Cr Os N V
2 1 1 1
Direct
0.500 0.000 0.000
0.000 0.500 0.000
0.500 0.500 0.500
0.000 0.000 0.000
0.000 0.000 0.500
```

Computed properties:
* symmetry: P4/mmm (123)
* uncorrected formation energy: -0.31 eV per atom
* density of states at the Fermi level: 1.001 states/eV/atom


[2]
The following is a PBE-GGA calculation of a relaxed structure of Cr2OsWN, from Alexandria.

```
Cr2OsWN
1.0
-3.472 -1.387 0.960
1.269 -0.699 3.578
-1.167 3.709 1.139
Os W Cr N
1 1 2 1
Direct
0.500 0.500 0.500
0.000 0.000 0.500
0.000 0.500 0.000
0.500 0.000 0.000
0.000 0.000 0.000
```

Computed properties:
* symmetry: P4/mmm (123)
* uncorrected formation energy: -0.11 eV per atom
* density of states at the Fermi level: 0.986 states/eV/atom
* relative energy among the computed polymorphs: 0.0 meV per atom


[3]
The following is a PBE-GGA calculation of a relaxed structure of Cr2OsWN, from Alexandria.

```
Cr2OsWN
1.0
4.621 0.000 0.000
0.000 3.770 0.000
0.000 0.000 4.621
Cr N W Os
2 1 1 1
Direct
0.500 0.000 0.000
0.000 0.000 0.500
0.000 0.500 0.000
0.000 0.000 0.000
0.500 0.500 0.500
```

Computed properties:
* symmetry: P4/mmm (123)
* uncorrected formation energy: 1.97 eV per atom
* density of states at the Fermi level: 1.697 states/eV/atom
* relative energy among the computed polymorphs: 2082.3 meV per atom


[4]
The following is a PBE-GGA calculation of a relaxed structure of CrPN2, from Alexandria.

```
CrPN2
1.0
1.576 0.000 5.817
-0.788 1.365 5.817
-0.788 -1.365 5.817
N Cr P
2 1 1
Direct
0.900 0.900 0.900
0.100 0.100 0.100
0.500 0.500 0.500
0.000 0.000 0.000
```

Computed properties:
* symmetry: R-3m (166)
* uncorrected formation energy: -0.01 eV per atom
* density of states at the Fermi level: 0.428 states/eV/atom


[5]
The following is a PBE-GGA calculation of a relaxed structure of CrP3N, from Alexandria.

```
CrP3N
1.0
3.990 0.000 0.000
0.000 3.990 0.000
0.000 0.000 3.990
P N Cr
3 1 1
Direct
0.500 0.000 0.000
0.000 0.000 0.500
0.000 0.500 0.000
0.000 0.000 0.000
0.500 0.500 0.500
```

Computed properties:
* symmetry: Pm-3m (221)
* uncorrected formation energy: 0.78 eV per atom
* density of states at the Fermi level: 0.510 states/eV/atom
* relative energy among the computed polymorphs: 0.0 meV per atom


[6]
The following is a PBE-GGA calculation of a relaxed structure of CrPN2, from Alexandria.

```
CrPN2
1.0
4.386 0.000 0.000
0.000 4.386 0.000
2.193 2.193 3.992
N Cr P
4 2 2
Direct
0.558 0.125 0.250
0.192 0.625 0.250
0.875 0.808 0.750
0.375 0.442 0.750
0.000 0.000 0.000
0.750 0.250 0.500
0.250 0.750 0.500
0.500 0.500 0.000
```

Computed properties:
* symmetry: I-42d (122)
* uncorrected formation energy: 0.05 eV per atom
* density of states at the Fermi level: 0.456 states/eV/atom


[7]
The following is a PBE-GGA calculation of a relaxed structure of Cr4PN, from Alexandria.

```
Cr4PN
1.0
-5.536 -0.782 0.683
-0.240 -2.082 -4.331
2.096 -4.192 1.899
N Cr P
2 8 2
Direct
0.000 0.500 0.500
0.500 0.000 0.500
0.693 0.642 0.582
0.193 0.858 0.582
0.120 0.386 0.859
0.807 0.142 0.418
0.380 0.886 0.141
0.620 0.114 0.859
0.307 0.358 0.418
0.880 0.614 0.141
0.000 0.000 0.000
0.500 0.500 0.000
```

Computed properties:
* symmetry: P2_1/c (14)
* uncorrected formation energy: -0.20 eV per atom
* density of states at the Fermi level: 1.128 states/eV/atom
* relative energy among the computed polymorphs: 113.3 meV per atom


[8]
The following is a PBE-GGA calculation of a relaxed structure of CrP3N, from Alexandria.

```
CrP3N
1.0
4.329 0.000 0.000
0.000 4.329 0.000
0.000 0.000 4.329
Cr P N
1 3 1
Direct
0.000 0.000 0.000
0.000 0.500 0.000
0.000 0.000 0.500
0.500 0.000 0.000
0.500 0.500 0.500
```

Computed properties:
* symmetry: Pm-3m (221)
* uncorrected formation energy: 1.33 eV per atom
* density of states at the Fermi level: 1.736 states/eV/atom
* relative energy among the computed polymorphs: 550.7 meV per atom


Q: density of states at the Fermi level of number 3 (Cr2OsWN)?
A: 1.697 states/eV/atom